The following is a PBE-GGA calculation of crystalline CaIF6 at its relaxed geometry, from Alexandria via LeMat-Bulk.

a = 4.980 Å, b = 4.980 Å, c = 5.699 Å
α = 94.75°, β = 94.75°, γ = 110.83°
Element x y z (fractional)
Ca (0.000, 0.000, 0.000)
I (0.500, 0.500, 0.500)
F (0.227, 0.227, 0.692)
F (0.438, 0.132, 0.231)
F (0.773, 0.773, 0.308)
F (0.868, 0.562, 0.769)
F (0.562, 0.868, 0.769)
F (0.132, 0.438, 0.231)

Summary:
raw total energy: -32.51 eV per cell
SG: C2/m
crystal system: monoclinic